Compound: Cd3SiPt
Source: Alexandria via LeMat-Bulk
Functional: PBE-GGA
Structure: relaxed

Computed properties:
total magnetization = 0.000 Bohr magnetons per cell
excess energy over the best structure of this formula in the dataset = 0.0 meV/atom

a = 5.155 Å, b = 5.155 Å, c = 5.155 Å
α = 90.00°, β = 90.00°, γ = 90.00°
Fractional coordinates of all 5 atoms:
Cd (0.000, 0.000, 0.500)
Cd (0.000, 0.500, 0.000)
Cd (0.500, 0.000, 0.000)
Si (0.500, 0.500, 0.500)
Pt (0.000, 0.000, 0.000)